SiTeH2 | PBE-GGA | relaxed

Unit cell a=5.260 b=10.665 c=4.795 alpha=90.00 beta=100.76 gamma=90.00
Element x y z (fractional)
Si (0.000, 0.063, 0.250)
Si (0.000, 0.937, 0.750)
Si (0.500, 0.426, 0.250)
Si (0.500, 0.574, 0.750)
Te (0.239, 0.264, 0.520)
Te (0.239, 0.736, 0.020)
Te (0.761, 0.264, 0.980)
Te (0.761, 0.736, 0.480)
H (0.171, 0.048, 0.979)
H (0.171, 0.952, 0.479)
H (0.319, 0.456, 0.935)
H (0.319, 0.544, 0.435)
H (0.681, 0.456, 0.565)
H (0.681, 0.544, 0.065)
H (0.829, 0.048, 0.521)
H (0.829, 0.952, 0.021)

Summary:
electronic total energy = -3.54 eV/atom
relative energy among the computed polymorphs = 0.00 eV per formula unit
space-group type = P2/c, No. 13

---

SiTe3H | PBE-GGA | relaxed

Unit cell a=4.739 b=4.739 c=4.739 alpha=90.00 beta=90.00 gamma=90.00
Element x y z (fractional)
Si (0.000, 0.000, 0.000)
Te (0.000, 0.500, 0.500)
Te (0.500, 0.000, 0.500)
Te (0.500, 0.500, 0.000)
H (0.500, 0.500, 0.500)

Summary:
electronic total energy = -2.87 eV/atom
relative energy among the computed polymorphs = 3.65 eV per formula unit
space-group type = Pm-3m, No. 221

---

SiTeH2 | PBE-GGA | relaxed

Unit cell a=5.432 b=5.432 c=5.432 alpha=119.91 beta=119.91 gamma=90.16
Element x y z (fractional)
Si (0.375, 0.625, 0.750)
Si (0.625, 0.375, 0.250)
Te (0.125, 0.875, 0.250)
Te (0.875, 0.125, 0.750)
H (0.000, 0.500, 0.500)
H (0.500, 0.000, 0.000)
H (0.500, 0.500, 0.000)
H (0.500, 0.500, 0.500)

Summary:
electronic total energy = -3.42 eV/atom
relative energy among the computed polymorphs = 0.50 eV per formula unit
space-group type = I4_1/amd, No. 141

---

SiTe3H | PBE-GGA | relaxed

Unit cell a=7.392 b=13.432 c=7.523 alpha=90.00 beta=91.47 gamma=90.00
Element x y z (fractional)
Si (0.054, 0.214, 0.406)
Si (0.054, 0.286, 0.906)
Si (0.946, 0.714, 0.094)
Si (0.946, 0.786, 0.594)
Te (0.070, 0.542, 0.167)
Te (0.070, 0.958, 0.667)
Te (0.203, 0.660, 0.556)
Te (0.203, 0.840, 0.056)
Te (0.266, 0.212, 0.680)
Te (0.266, 0.288, 0.180)
Te (0.734, 0.712, 0.820)
Te (0.734, 0.788, 0.320)
Te (0.797, 0.160, 0.944)
Te (0.797, 0.340, 0.444)
Te (0.930, 0.042, 0.333)
Te (0.930, 0.458, 0.833)
H (0.312, 0.745, 0.432)
H (0.312, 0.755, 0.932)
H (0.688, 0.245, 0.068)
H (0.688, 0.255, 0.568)

Summary:
electronic total energy = -3.60 eV/atom
relative energy among the computed polymorphs = 0.00 eV per formula unit
space-group type = P2_1/c, No. 14

---

Question: Which value of electronic total energy does entry 2 give?
Answer: -2.87 eV/atom

---

Question: Among the records above, which one has the highest electronic total energy?
Answer: number 2